BaReSb | PBE-GGA | relaxed

Properties
- Raw formation energy: 0.8169 eV/atom
- Magnetic moment: 0.000 μB/atom
- SG: F-43m
- E_tot: -5.347 eV/atom
- Energy relative to the lowest polymorph listed for this composition: 501.7 meV/atom

abc: 4.9062 4.9062 4.9062
angles: 60.00 60.00 60.00
Atoms (fractional coordinates):
Ba: 0.0000 0.0000 0.0000
Re: 0.7500 0.7500 0.7500
Sb: 0.5000 0.5000 0.5000